# 1
This record from the Alexandria database describes a geometry-optimized La2PaBr structure. The functional is PBE.

abc: 11.7151 11.7151 11.7151
angles: 16.71 16.71 16.71
Fractional positions:
1 La 0.0940 0.0940 0.0940
2 La 0.9060 0.9060 0.9060
3 Pa 0.0000 0.0000 0.0000
4 Br 0.5000 0.5000 0.5000

Total DFT energy (no corrections) (eV/atom): -5.49
Uncorrected formation energy (eV/atom): -0.24


# 2
This record from the Alexandria database describes a geometry-optimized AcFe2I8 structure. The functional is PBE.

abc: 9.0517 9.0517 7.2916
angles: 94.35 94.35 78.75
Fractional positions:
1 Ac 0.0000 0.0000 0.0000
2 Fe 0.1981 0.1981 0.6514
3 Fe 0.8019 0.8019 0.3486
4 I 0.0800 0.7056 0.2485
5 I 0.1976 0.1976 0.2916
6 I 0.2944 0.9200 0.7515
7 I 0.3684 0.3684 0.7917
8 I 0.6316 0.6316 0.2083
9 I 0.7056 0.0800 0.2485
10 I 0.8024 0.8024 0.7084
11 I 0.9200 0.2944 0.7515

Total DFT energy (no corrections) (eV/atom): -3.67
Uncorrected formation energy (eV/atom): -0.63


# 3
This record from the Alexandria database describes a geometry-optimized BaPRuCl2 structure. The functional is PBE.

abc: 5.1235 5.1235 4.5238
angles: 90.00 90.00 90.00
Fractional positions:
1 Ba 0.0000 0.0000 0.0000
2 P 0.5000 0.5000 0.0000
3 Ru 0.5000 0.5000 0.5000
4 Cl 0.0000 0.5000 0.5000
5 Cl 0.5000 0.0000 0.5000

Total DFT energy (no corrections) (eV/atom): -4.92
Uncorrected formation energy (eV/atom): -0.86
ΔE to the lowest computed polymorph (eV per atom): 0.0000